Compound: Pm7YHo3
Source: Alexandria via LeMat-Bulk
Functional: PBE-GGA
Structure: optimized geometry

The space group is P2/m (No. 10) and the conventional cell measures 7.096, 5.640 and 9.997 Å, with angles of 90.00, 110.40 and 90.00 degrees. The inequivalent atoms are Pm at (0.000, 0.000, 0.000), Pm at (0.147, 0.500, 0.292), Pm at (0.321, 0.500, 0.640), Pm at (0.418, 0.000, 0.829), Y at (0.000, 0.000, 0.500), Ho at (0.279, 0.500, 0.999) and Ho at (0.500, 0.000, 0.500).

As for the density of states at the Fermi level: 15.7 states/eV/f.u. For the total magnetization, the calculation gives 0.000 μB/atom. For the volume, the calculation gives 375.0 Å³ per cell. As for the energy above the lowest structure with this stoichiometry: 0.0000 eV per atom.

Compound: BaCr2Re
Source: Alexandria via LeMat-Bulk
Functional: PBE-GGA
Structure: optimized geometry

The space group is R3m (No. 160, hexagonal axes) and the conventional cell measures 4.1852, 4.1852 and 18.4024 Å, with angles of 90.00, 90.00 and 120.00 degrees. The inequivalent atoms are Ba at (0.0000, 0.0000, 0.0000), Cr at (0.0000, 0.0000, 0.1889), Cr at (0.0000, 0.0000, 0.5036) and Re at (0.0000, 0.0000, 0.8065).

As for the density of states at the Fermi level: 5.0 states/eV/f.u. For the total magnetization, the calculation gives 0.324 μB/atom. For the volume, the calculation gives 279.2 Å³ per cell. As for the energy above the lowest structure with this stoichiometry: 0.0000 eV per atom.

Compound: Cs2K2Au
Source: Alexandria via LeMat-Bulk
Functional: PBE-GGA
Structure: optimized geometry

The space group is P4/mbm (No. 127) and the conventional cell measures 9.210, 9.210 and 7.686 Å, with angles of 90.00, 90.00 and 90.00 degrees. The inequivalent atoms are Cs at (0.188, 0.312, 0.000), K at (0.169, 0.669, 0.500) and Au at (0.000, 0.000, 0.500).

As for the density of states at the Fermi level: 3.5 states/eV/f.u. For the total magnetization, the calculation gives 0.000 μB/atom. For the volume, the calculation gives 652.0 Å³ per cell. As for the energy above the lowest structure with this stoichiometry: 0.0989 eV per atom.

Compound: ZrAl2Cl
Source: Alexandria via LeMat-Bulk
Functional: PBE-GGA
Structure: optimized geometry

The space group is I-42d (No. 122) and the conventional cell measures 7.679, 7.679 and 5.464 Å, with angles of 90.00, 90.00 and 90.00 degrees. The inequivalent atoms are Zr at (0.000, 0.000, 0.000), Al at (0.236, 0.250, 0.625) and Cl at (0.000, 0.000, 0.500).

As for the density of states at the Fermi level: 3.3 states/eV/f.u. For the total magnetization, the calculation gives 0.000 μB/atom. For the volume, the calculation gives 322.3 Å³ per cell. The calculation puts the raw formation energy at 0.114 eV per atom. As for the energy above the lowest structure with this stoichiometry: 0.5504 eV per atom.

Q: The highest energy above the lowest structure with this stoichiometry belongs to which entry?
A: ZrAl2Cl

Q: What is the energy above the lowest structure with this stoichiometry in the fourth record?
A: 0.5504 eV per atom

Repeat the second record exactly.
Compound: BaCr2Re
Source: Alexandria via LeMat-Bulk
Functional: PBE-GGA
Structure: optimized geometry

The space group is R3m (No. 160, hexagonal axes) and the conventional cell measures 4.1852, 4.1852 and 18.4024 Å, with angles of 90.00, 90.00 and 120.00 degrees. The inequivalent atoms are Ba at (0.0000, 0.0000, 0.0000), Cr at (0.0000, 0.0000, 0.1889), Cr at (0.0000, 0.0000, 0.5036) and Re at (0.0000, 0.0000, 0.8065).

As for the density of states at the Fermi level: 5.0 states/eV/f.u. For the total magnetization, the calculation gives 0.324 μB/atom. For the volume, the calculation gives 279.2 Å³ per cell. As for the energy above the lowest structure with this stoichiometry: 0.0000 eV per atom.